The following is a DFT calculation (PBE+U) of an optimized crystal structure of Li2Ni3O6.

```
data_Li2Ni3O6
_chemical_formula_sum 'Li4 Ni6 O12'
_space_group_name_H-M_alt 'P 1'
_space_group_IT_number 1
_space_group_name_Hall 'P 1'
_cell_length_a 4.885
_cell_length_b 4.885
_cell_length_c 10.151
_cell_angle_alpha 77.23
_cell_angle_beta 77.23
_cell_angle_gamma 62.11
loop_
_atom_site_label
_atom_site_fract_x
_atom_site_fract_y
_atom_site_fract_z
Li1 0.382 0.599 0.757
Li2 0.252 0.054 0.257
Li3 0.599 0.382 0.257
Li4 0.054 0.252 0.757
Ni1 0.517 0.655 0.497
Ni2 0.324 0.182 0.998
Ni3 0.846 0.987 0.507
Ni4 0.655 0.517 0.997
Ni5 0.182 0.324 0.498
Ni6 0.987 0.846 0.007
O1 0.981 0.137 0.109
O2 0.535 0.038 0.399
O3 0.820 0.613 0.600
O4 0.668 0.242 0.892
O5 0.906 0.321 0.395
O6 0.613 0.820 0.100
O7 0.038 0.535 0.899
O8 0.242 0.668 0.392
O9 0.446 0.318 0.608
O10 0.321 0.906 0.895
O11 0.318 0.446 0.108
O12 0.137 0.981 0.609
```

Computed properties:
Space-group type ... Cc, No. 9
DFT total energy ... -4.80 eV per atom
Energy above the most stable polymorph in this dataset ... 11.7 meV/atom